First-principles (PBE) data for a geometry-optimized BaMgGeIr structure, as listed in Alexandria.

## Properties
**ρ**: 6221 kg/m³
**DFT formation energy**: -1.5 eV per formula unit

Lattice parameters (Å, degrees): 4.235 4.235 12.697 90.00 90.00 90.00
Space group P4/nmm (No. 129, origin choice 2)
Symmetry-distinct sites (fractional):
Ba: 0.250 0.250 0.229
Mg: 0.250 0.750 0.500
Ge: 0.250 0.250 0.897
Ir: 0.250 0.750 0.000